Record 1
Density functional theory data (PBE) for TlCrRh2 after structural relaxation.

```
TlCrRh2
1.0
4.990 0.003 -0.014
1.895 4.616 0.014
-3.436 -2.320 2.777
Cr Tl Rh
1 1 2
Cartesian
2.498 -0.004 1.382 Cr
3.442 2.309 0.000 Tl
0.001 0.001 0.000 Rh
0.951 2.303 1.396 Rh
```

Record 2
Density functional theory data (PBE) for TlCrRh2 after structural relaxation.

```
TlCrRh2
1.0
2.935 0.012 0.000
-0.012 2.935 0.000
0.000 0.000 7.647
Cr Tl Rh
1 1 2
Cartesian
1.461 1.474 6.024 Cr
0.000 0.000 3.765 Tl
0.000 0.000 7.569 Rh
1.461 1.474 1.761 Rh
```

Record 3
Density functional theory data (PBE) for TlCr2Rh after structural relaxation.

```
TlCr2Rh
1.0
-4.632 -1.349 -1.379
-2.449 -3.062 3.131
2.559 4.296 0.419
Rh Cr Tl
1 2 1
Cartesian
-1.716 -0.486 2.213 Rh
-7.080 -4.410 1.752 Cr
-3.542 -2.207 0.876 Cr
-2.807 0.371 -0.042 Tl
```

Record 4
Density functional theory data (PBE) for TlCrRh after structural relaxation.

```
TlCrRh
1.0
3.067 0.000 0.000
-1.533 2.656 0.000
0.000 0.000 6.533
Tl Rh Cr
1 1 1
Cartesian
0.000 1.771 4.345 Tl
1.533 0.885 1.998 Rh
0.000 0.000 0.190 Cr
```

Record 5
Density functional theory data (PBE) for TlCr2Rh after structural relaxation.

```
TlCr2Rh
1.0
4.862 -0.009 0.000
1.490 4.628 0.000
-3.176 -2.309 2.867
Cr Rh Tl
2 1 1
Cartesian
0.745 2.314 1.433 Cr
0.000 0.000 0.000 Cr
3.176 2.309 0.000 Rh
2.431 -0.004 1.433 Tl
```

Record 6
Density functional theory data (PBE) for TlCrRh2 after structural relaxation.

```
TlCrRh2
1.0
4.526 0.000 0.000
2.263 3.920 0.000
2.263 1.307 3.696
Rh Tl Cr
2 1 1
Cartesian
2.263 1.307 0.924 Rh
0.000 0.000 0.000 Rh
6.789 3.920 2.772 Tl
4.526 2.613 1.848 Cr
```

| no. | E_form (meV per atom) |
| --- | --- |
| 1 | 158 |
| 2 | 303 |
| 3 | 545 |
| 4 | 442 |
| 5 | 281 |
| 6 | 344 |